DFT (PBE-GGA) results for Tb4Er2Tm after structural relaxation.

```
14
Lattice="6.127 0.000 0.000 0.000 6.484 0.000 -2.955 0.000 11.013" Properties=species:S:1:pos:R:3 pbc="T T T"
Tb -0.856 1.621 4.007
Tb -1.897 1.621 10.436
Tb 1.492 3.282 2.350
Tb 1.492 6.445 2.350
Tb 1.680 0.040 8.662
Tb 1.680 3.203 8.662
Tb 5.070 4.863 0.577
Tb 4.028 4.863 7.006
Er -0.956 4.863 10.172
Er 0.905 4.863 5.551
Er 2.267 1.621 5.462
Er 4.128 1.621 0.840
Tm -0.999 1.621 7.308
Tm 4.172 4.863 3.705
```

E above lowest polymorph: 98 meV/atom
symmetry: P2_1/m, No. 11
E_form: 0.1374 eV per atom

=====

DFT (PBE-GGA) results for MgGaHRu2 after structural relaxation.

```
5
Lattice="4.027 0.000 0.000 0.000 4.027 0.000 0.000 0.000 3.754" Properties=species:S:1:pos:R:3 pbc="T T T"
Mg 0.000 0.000 0.000
Ga 2.013 2.013 0.000
H 0.000 0.000 1.877
Ru 0.000 2.013 1.877
Ru 2.013 0.000 1.877
```

total energy: -26.7 eV/cell
symmetry: P4/mmm, No. 123

=====

DFT (PBE-GGA) results for PmHo15Er4 after structural relaxation.

```
20
Lattice="4.987 0.000 0.000 0.000 4.987 0.000 0.000 0.000 24.928" Properties=species:S:1:pos:R:3 pbc="T T T"
Pm 0.000 0.000 0.000
Ho 0.000 2.493 2.527
Ho 0.000 2.493 7.493
Ho 0.000 2.493 12.464
Ho 0.000 2.493 17.435
Ho 0.000 2.493 22.401
Ho 2.493 0.000 2.527
Ho 2.493 0.000 7.493
Ho 2.493 0.000 12.464
Ho 2.493 0.000 17.435
Ho 2.493 0.000 22.401
Ho 2.493 2.493 0.000
Ho 2.493 2.493 5.016
Ho 2.493 2.493 9.978
Ho 2.493 2.493 14.950
Ho 2.493 2.493 19.912
Er 0.000 0.000 5.006
Er 0.000 0.000 9.979
Er 0.000 0.000 14.949
Er 0.000 0.000 19.922
```

symmetry: P4/mmm, No. 123
E_form: 0.0206 eV per atom